Record 1
Compound: Nd6Cd2N
Source: Alexandria
Functional: PBE-GGA
Structure: relaxed

Cell: 12.3674 7.1749 7.1909 Å, 90.00 125.30 90.00°
Closest atoms and distances in Å follow each position.
Space group C2/m (No. 12)
One atom of each set of equivalent atoms:
Nd  0.0324  0.2440  0.2889 x8  1 N 2.50
Nd  0.2421  0.0000  0.8073 x4  1 N 2.49
Cd  0.2478  0.5000  0.7437 x4  5 Nd 3.16-3.35
N  0.0000  0.0000  0.5000 x2  6 Nd 2.49-2.50

Results
energy relative to the elements, uncorrected	-0.41	eV per atom
theoretical density	7.04	Mg/m³
DFT total energy	-4.7188	eV per atom


Record 2
Compound: Cs2LiRhBr6
Source: Alexandria
Functional: PBE-GGA
Structure: relaxed

Cell: 8.0097 9.7101 8.4628 Å, 90.00 90.00 90.00°
Closest atoms and distances in Å follow each position.
Space group Pmmn (No. 59, origin choice 2)
One atom of each set of equivalent atoms:
Cs  0.2500  0.0069  0.2307 x4  11 Br 3.71-4.01, 1 Li 4.08
Li  0.2500  0.7500  0.6125 x2  4 Br 2.53-2.63
Rh  0.2500  0.2500  0.7477 x2  6 Br 2.50-2.57
Br  0.0290  0.2500  0.5275 x4  1 Li 2.53, 1 Rh 2.57
Br  0.0299  0.2500  0.9564 x4  1 Rh 2.50
Br  0.2500  0.5119  0.7599 x4  1 Rh 2.55, 1 Li 2.63

Results
energy relative to the elements, uncorrected	-1.16	eV per atom
theoretical density	4.31	Mg/m³
DFT total energy	-3.2634	eV per atom


Record 3
Compound: AcMg2AlCu4
Source: Alexandria
Functional: PBE-GGA
Structure: relaxed

Cell: 4.3483 4.3483 27.5022 Å, 90.00 90.00 120.00°
Closest atoms and distances in Å follow each position.
Space group R-3m (No. 166, hexagonal axes)
One atom of each set of equivalent atoms:
Ac  0.0000  0.0000  0.0000 x3  6 Cu 3.25
Mg  0.0000  0.0000  0.2336 x6  7 Cu 2.60-2.70
Al  0.0000  0.0000  0.5000 x3  8 Cu 2.53-2.65
Cu  0.0000  0.0000  0.1356 x6  3 Al 2.65, 4 Mg 2.70
Cu  0.0000  0.0000  0.4081 x6  1 Al 2.53, 3 Mg 2.60

Results
theoretical density	6.16	Mg/m³
DFT total energy	-3.5555	eV per atom
energy of formation from the pure elements	-0.13	eV/atom